# NaCd2Ni2 | Alexandria | GGA-PBE | optimized geometry
# - E_tot (eV/atom) = -2.8820
data_NaCd2Ni2
_chemical_formula_sum 'Na2 Cd4 Ni4'
_space_group_name_H-M_alt 'P 4/m b m'
_space_group_IT_number 127
_space_group_name_Hall '-P 4 2ab'
_cell_length_a 7.755
_cell_length_b 7.755
_cell_length_c 2.890
_cell_angle_alpha 90.00
_cell_angle_beta 90.00
_cell_angle_gamma 90.00
loop_
_atom_site_label
_atom_site_type_symbol
_atom_site_fract_x
_atom_site_fract_y
_atom_site_fract_z
Na1 Na 0.000 0.000 0.000
Cd1 Cd 0.178 0.322 0.500
Ni1 Ni 0.114 0.614 0.000

# CePu2Tc2 | Alexandria | GGA-PBE | optimized geometry
# - E_tot (eV/atom) = -10.9896
data_CePu2Tc2
_chemical_formula_sum 'Ce2 Pu4 Tc4'
_space_group_name_H-M_alt 'P 1 21/m 1'
_space_group_IT_number 11
_cell_length_a 5.510
_cell_length_b 4.652
_cell_length_c 8.688
_cell_angle_alpha 90.00
_cell_angle_beta 93.49
_cell_angle_gamma 90.00
loop_
_space_group_symop_operation_xyz
'x,y,z'
'-x,-y,-z'
'-x,y+1/2,-z'
'x,-y+1/2,z'
loop_
_atom_site_label
_atom_site_type_symbol
_atom_site_fract_x
_atom_site_fract_y
_atom_site_fract_z
Ce1 Ce 0.183 0.250 0.280
Pu1 Pu 0.253 0.250 0.651
Pu2 Pu 0.346 0.750 0.939
Tc1 Tc 0.093 0.250 0.913
Tc2 Tc 0.331 0.750 0.534

# KAgRuBr6 | Alexandria | GGA-PBE | optimized geometry
# - uncorrected formation energy (meV per atom) = -575.8
data_KAgRuBr6
_chemical_formula_sum 'K1 Ag1 Ru1 Br6'
_space_group_name_H-M_alt 'P 3 1 2'
_space_group_IT_number 149
_cell_length_a 7.1019
_cell_length_b 7.1019
_cell_length_c 7.0065
_cell_angle_alpha 90.00
_cell_angle_beta 90.00
_cell_angle_gamma 120.00
loop_
_space_group_symop_operation_xyz
'x,y,z'
'-y,x-y,z'
'-x+y,-x,z'
'-y,-x,-z'
'-x+y,y,-z'
'x,x-y,-z'
loop_
_atom_site_label
_atom_site_type_symbol
_atom_site_fract_x
_atom_site_fract_y
_atom_site_fract_z
K1 K 0.0000 0.0000 0.0000
Ag1 Ag 0.3333 0.6667 0.5000
Ru1 Ru 0.6667 0.3333 0.5000
Br1 Br 0.3868 0.0363 0.7064

Number 1: spin magnetization 0.0000 μB per atom, volume 173.79 Å³/cell. Number 2: spin magnetization 1.9501 μB per atom, volume 222.33 Å³/cell. Number 3: spin magnetization 0.2303 μB per atom, volume 306.08 Å³/cell.